Entry 1:
# La4Pr3ThSe8, optimized geometry, DFT PBE
# * raw formation energy: -1.89 eV per atom
# * ρ: 6.89 g/cm³
data_La4Pr3ThSe8
_cell_length_a 8.5664
_cell_length_b 8.5664
_cell_length_c 20.9563
_cell_angle_alpha 90.00
_cell_angle_beta 90.00
_cell_angle_gamma 120.00
_space_group_name_H-M_alt 'R -3 m'
_space_group_IT_number 166
_space_group_name_Hall '-R 3 2"'
loop_
_atom_site_label
_atom_site_type_symbol
_atom_site_fract_x
_atom_site_fract_y
_atom_site_fract_z
La1 La 0.0000 0.0000 0.0000
La2 La 0.0000 0.5000 0.0000
Pr1 Pr 0.0000 0.5000 0.5000
Th1 Th 0.0000 0.0000 0.5000
Se1 Se 0.0000 0.0000 0.2494
Se2 Se 0.0027 0.5013 0.2486


Entry 2:
# TbGdBe2, optimized geometry, DFT PBE
# * ρ: 6.87 g/cm³
# * E_form: 0.12 eV/atom
data_TbGdBe2
_cell_length_a 6.8619
_cell_length_b 6.8619
_cell_length_c 6.8619
_cell_angle_alpha 90.00
_cell_angle_beta 90.00
_cell_angle_gamma 90.00
_space_group_name_H-M_alt 'F m -3 m'
_space_group_IT_number 225
_space_group_name_Hall '-F 4 2 3'
loop_
_atom_site_label
_atom_site_type_symbol
_atom_site_fract_x
_atom_site_fract_y
_atom_site_fract_z
Tb1 Tb 0.0000 0.0000 0.0000
Gd1 Gd 0.0000 0.0000 0.5000
Be1 Be 0.2500 0.2500 0.2500


Entry 3:
# Hf7Ga5Au, optimized geometry, DFT PBE
# * ρ: 11.78 g/cm³
# * E_form: -0.25 eV/atom
data_Hf7Ga5Au
_cell_length_a 5.4963
_cell_length_b 9.7389
_cell_length_c 9.4573
_cell_angle_alpha 90.00
_cell_angle_beta 90.00
_cell_angle_gamma 90.00
_space_group_name_H-M_alt 'I m m 2'
_space_group_IT_number 44
_space_group_name_Hall 'I 2 -2'
loop_
_atom_site_label
_atom_site_type_symbol
_atom_site_fract_x
_atom_site_fract_y
_atom_site_fract_z
Hf1 Hf 0.0000 0.0000 0.0000
Hf2 Hf 0.0000 0.0000 0.3627
Hf3 Hf 0.0000 0.3341 0.5787
Hf4 Hf 0.0000 0.3377 0.0654
Hf5 Hf 0.0000 0.5000 0.3206
Ga1 Ga 0.0000 0.5000 0.8203
Ga2 Ga 0.2456 0.2391 0.8254
Au1 Au 0.0000 0.0000 0.6651


Entry 4:
# MgAs2RuW, optimized geometry, DFT PBE
# * ρ: 7.94 g/cm³
# * E_form: 1.73 eV/atom
data_MgAs2RuW
_cell_length_a 4.6741
_cell_length_b 4.6741
_cell_length_c 4.3958
_cell_angle_alpha 90.00
_cell_angle_beta 90.00
_cell_angle_gamma 90.00
_space_group_name_H-M_alt 'P 4/m m m'
_space_group_IT_number 123
_space_group_name_Hall '-P 4 2'
loop_
_atom_site_label
_atom_site_type_symbol
_atom_site_fract_x
_atom_site_fract_y
_atom_site_fract_z
Mg1 Mg 0.0000 0.0000 0.0000
As1 As 0.0000 0.5000 0.0000
Ru1 Ru 0.0000 0.0000 0.5000
W1 W 0.5000 0.5000 0.5000


Entry 5:
# K2HgIrO4, optimized geometry, DFT PBE
# * raw formation energy: -0.86 eV per atom
# * ρ: 5.85 g/cm³
data_K2HgIrO4
_cell_length_a 6.4705
_cell_length_b 6.4705
_cell_length_c 7.2487
_cell_angle_alpha 90.00
_cell_angle_beta 90.00
_cell_angle_gamma 90.00
_space_group_name_H-M_alt 'I -4'
_space_group_IT_number 82
_space_group_name_Hall 'I -4'
loop_
_atom_site_label
_atom_site_type_symbol
_atom_site_fract_x
_atom_site_fract_y
_atom_site_fract_z
K1 K 0.0000 0.0000 0.0000
K2 K 0.0000 0.5000 0.2500
Hg1 Hg 0.0000 0.0000 0.5000
Ir1 Ir 0.0000 0.5000 0.7500
O1 O 0.2009 0.2952 0.7500


Entry 6:
# Hg2PdF2, optimized geometry, DFT PBE
# * offset from the most stable computed form: 0 meV/atom
# * raw formation energy: -0.60 eV per atom
# * ρ: 9.70 g/cm³
data_Hg2PdF2
_cell_length_a 5.4382
_cell_length_b 5.4382
_cell_length_c 6.3194
_cell_angle_alpha 90.00
_cell_angle_beta 90.00
_cell_angle_gamma 90.00
_space_group_name_H-M_alt 'I 4/m m m'
_space_group_IT_number 139
_space_group_name_Hall '-I 4 2'
loop_
_atom_site_label
_atom_site_type_symbol
_atom_site_fract_x
_atom_site_fract_y
_atom_site_fract_z
Hg1 Hg 0.0000 0.5000 0.2500
Pd1 Pd 0.0000 0.0000 0.0000
F1 F 0.0000 0.0000 0.3181


Entry 7:
# SrAcN2, optimized geometry, DFT PBE
# * offset from the most stable computed form: 586 meV/atom
# * raw formation energy: 0.03 eV per atom
# * ρ: 5.69 g/cm³
data_SrAcN2
_cell_length_a 4.1236
_cell_length_b 4.1236
_cell_length_c 20.3854
_cell_angle_alpha 90.00
_cell_angle_beta 90.00
_cell_angle_gamma 120.00
_space_group_name_H-M_alt 'R -3 m'
_space_group_IT_number 166
_space_group_name_Hall '-R 3 2"'
loop_
_atom_site_label
_atom_site_type_symbol
_atom_site_fract_x
_atom_site_fract_y
_atom_site_fract_z
Sr1 Sr 0.0000 0.0000 0.0000
Ac1 Ac 0.0000 0.0000 0.5000
N1 N 0.0000 0.0000 0.3969


Entry 8:
# Cd4InAu4, optimized geometry, DFT PBE
# * ρ: 10.10 g/cm³
# * E_form: -0.08 eV/atom
data_Cd4InAu4
_cell_length_a 8.9847
_cell_length_b 8.9847
_cell_length_c 5.5066
_cell_angle_alpha 90.00
_cell_angle_beta 90.00
_cell_angle_gamma 90.00
_space_group_name_H-M_alt 'P 42/n'
_space_group_IT_number 86
loop_
_space_group_symop_operation_xyz
'x,y,z'
'-x,-y,-z'
'-y,x+1/2,z+1/2'
'y,-x+1/2,-z+1/2'
'-x+1/2,-y+1/2,z'
'x+1/2,y+1/2,-z'
'y+1/2,-x,z+1/2'
'-y+1/2,x,-z+1/2'
loop_
_atom_site_label
_atom_site_type_symbol
_atom_site_fract_x
_atom_site_fract_y
_atom_site_fract_z
Cd1 Cd 0.0831 0.6562 0.1522
In1 In 0.2500 0.2500 0.2500
Au1 Au 0.0288 0.6211 0.6564


Entry 9:
# PmScCoGe, optimized geometry, DFT PBE
# * ρ: 6.67 g/cm³
# * E_form: -0.36 eV/atom
data_PmScCoGe
_cell_length_a 6.8427
_cell_length_b 6.8427
_cell_length_c 6.8427
_cell_angle_alpha 90.00
_cell_angle_beta 90.00
_cell_angle_gamma 90.00
_space_group_name_H-M_alt 'F -4 3 m'
_space_group_IT_number 216
_space_group_name_Hall 'F -4 2 3'
loop_
_atom_site_label
_atom_site_type_symbol
_atom_site_fract_x
_atom_site_fract_y
_atom_site_fract_z
Pm1 Pm 0.0000 0.0000 0.0000
Sc1 Sc 0.0000 0.0000 0.5000
Co1 Co 0.2500 0.2500 0.7500
Ge1 Ge 0.2500 0.2500 0.2500


Entry 10:
# PuBe4V, optimized geometry, DFT PBE
# * ρ: 7.61 g/cm³
# * E_form: 0.12 eV/atom
data_PuBe4V
_cell_length_a 6.6101
_cell_length_b 6.6101
_cell_length_c 6.6101
_cell_angle_alpha 90.00
_cell_angle_beta 90.00
_cell_angle_gamma 90.00
_space_group_name_H-M_alt 'F -4 3 m'
_space_group_IT_number 216
_space_group_name_Hall 'F -4 2 3'
loop_
_atom_site_label
_atom_site_type_symbol
_atom_site_fract_x
_atom_site_fract_y
_atom_site_fract_z
Pu1 Pu 0.0000 0.0000 0.0000
Be1 Be 0.1217 0.1217 0.3783
V1 V 0.2500 0.2500 0.7500


Entry 11:
# NaMg5Ga3, optimized geometry, DFT PBE
# * ρ: 3.13 g/cm³
# * E_form: -0.09 eV/atom
data_NaMg5Ga3
_cell_length_a 8.4203
_cell_length_b 8.4203
_cell_length_c 6.1083
_cell_angle_alpha 90.00
_cell_angle_beta 90.00
_cell_angle_gamma 120.00
_space_group_name_H-M_alt 'P 63/m c m'
_space_group_IT_number 193
_space_group_name_Hall '-P 6c 2'
loop_
_atom_site_label
_atom_site_type_symbol
_atom_site_fract_x
_atom_site_fract_y
_atom_site_fract_z
Na1 Na 0.0000 0.0000 0.0000
Mg1 Mg 0.0000 0.3325 0.2500
Mg2 Mg 0.3333 0.6667 0.0000
Ga1 Ga 0.0000 0.3415 0.7500


Entry 12:
# PmPuBi, optimized geometry, DFT PBE
# * offset from the most stable computed form: 165 meV/atom
# * ρ: 10.75 g/cm³
# * E_form: -0.14 eV/atom
data_PmPuBi
_cell_length_a 5.3836
_cell_length_b 5.3836
_cell_length_c 3.6796
_cell_angle_alpha 90.00
_cell_angle_beta 90.00
_cell_angle_gamma 120.00
_space_group_name_H-M_alt 'P 3 m 1'
_space_group_IT_number 156
_space_group_name_Hall 'P 3 -2"'
loop_
_atom_site_label
_atom_site_type_symbol
_atom_site_fract_x
_atom_site_fract_y
_atom_site_fract_z
Pm1 Pm 0.0000 0.0000 0.0000
Pu1 Pu 0.3333 0.6667 0.4246
Bi1 Bi 0.6667 0.3333 0.7075